Ce3Pr4ZrN8 | PBE-GGA | relaxed

extended XYZ file:
```
16
Lattice="-3.285 1.198 6.224 -6.043 -2.827 -2.645 6.057 -3.774 -0.171" Properties=species:S:1:pos:R:3 pbc="T T T"
Ce -1.635 -2.701 1.704
Ce 0.007 -3.300 -1.408
Ce -4.664 -0.814 1.789
Pr -1.642 0.599 3.112
Pr 1.386 -1.288 3.027
Pr 3.029 -1.887 -0.085
Pr 0.000 0.000 0.000
N -0.977 -1.875 3.939
N -2.416 -0.538 0.796
N -2.294 -3.528 -0.531
N -0.854 -4.864 2.612
N -3.904 -3.008 2.613
N -4.122 0.084 4.028
N 0.633 -2.395 0.795
N 0.852 -5.487 -0.620
Zr -3.021 -1.413 -1.322
```

Results
uncorrected formation energy = -1440 meV per atom
calculated total energy = -135.1 eV per cell
size of the total moment = 0.00 μB per formula unit